! Ba3UV2O9 | Alexandria | GGA+U | optimized geometry; values from VASP
&SYSTEM
  ibrav = 0, nat = 15, ntyp = 4
/
ATOMIC_SPECIES
Ba 137.33 Ba.upf
U 238.03 U.upf
V 50.94 V.upf
O 16.00 O.upf
CELL_PARAMETERS angstrom
-4.3991 2.0527 3.3103
-0.8457 -4.6990 -3.4246
2.0576 -4.3115 5.4078
ATOMIC_POSITIONS crystal
Ba 0.3333 0.6667 0.6821
Ba 0.0000 0.0000 0.0000
Ba 0.6667 0.3333 0.3179
U 0.0000 0.0000 0.5000
V 0.3333 0.6667 0.1486
V 0.6667 0.3333 0.8514
O 0.8312 0.1688 0.6720
O 0.8312 0.6624 0.6720
O 0.3376 0.1688 0.6720
O 0.6624 0.8312 0.3280
O 0.1688 0.3376 0.3280
O 0.1688 0.8312 0.3280
O 0.5000 0.0000 0.0000
O 0.0000 0.5000 0.0000
O 0.5000 0.5000 0.0000
! - Energy: -7.82 eV/atom
! - DOS at the Fermi energy: 5.36 states/eV/f.u.
! - Total magnetic moment: 3.24 μB/f.u.